Entry 1:
# ReP2RhCl | the Alexandria database | PBE | relaxed
data_ReP2RhCl
_symmetry_space_group_name_H-M 'P 1'
_symmetry_Int_Tables_number 1
_symmetry_space_group_name_Hall 'P 1'
_cell_length_a 4.600
_cell_length_b 4.671
_cell_length_c 4.600
_cell_angle_alpha 90.00
_cell_angle_beta 90.00
_cell_angle_gamma 90.00
loop_
_atom_site_label
_atom_site_type_symbol
_atom_site_fract_x
_atom_site_fract_y
_atom_site_fract_z
_atom_site_occupancy
Re1 Re 0.500 0.500 0.500 1
Rh1 Rh 0.000 0.000 0.000 1
P1 P 0.000 0.000 0.500 1
P2 P 0.500 0.000 0.000 1
Cl1 Cl 0.000 0.500 0.000 1
# - E: -5.25 eV per atom

***

Entry 2:
# KRe2Ni | the Alexandria database | PBE | relaxed
data_KRe2Ni
_symmetry_space_group_name_H-M 'P 1'
_symmetry_Int_Tables_number 1
_symmetry_space_group_name_Hall 'P 1'
_cell_length_a 10.364
_cell_length_b 10.364
_cell_length_c 10.364
_cell_angle_alpha 15.22
_cell_angle_beta 15.22
_cell_angle_gamma 15.22
loop_
_atom_site_label
_atom_site_type_symbol
_atom_site_fract_x
_atom_site_fract_y
_atom_site_fract_z
_atom_site_occupancy
Re1 Re 0.484 0.484 0.484 1
Re2 Re 0.016 0.016 0.016 1
Ni1 Ni 0.750 0.750 0.750 1
K1 K 0.250 0.250 0.250 1
# - E: -7.10 eV per atom
# - Formation energy: 0.84 eV/atom

***

Entry 3:
# InAs2RhSe | the Alexandria database | PBE | relaxed
data_InAs2RhSe
_symmetry_space_group_name_H-M 'P 1'
_symmetry_Int_Tables_number 1
_symmetry_space_group_name_Hall 'P 1'
_cell_length_a 4.717
_cell_length_b 4.717
_cell_length_c 5.436
_cell_angle_alpha 90.00
_cell_angle_beta 90.00
_cell_angle_gamma 90.00
loop_
_atom_site_label
_atom_site_type_symbol
_atom_site_fract_x
_atom_site_fract_y
_atom_site_fract_z
_atom_site_occupancy
As1 As 0.500 0.000 0.000 1
Rh1 Rh 0.000 0.000 0.000 1
In1 In 0.500 0.500 0.500 1
Se1 Se 0.000 0.000 0.500 1
As2 As 0.000 0.500 0.000 1
# - E: -4.33 eV per atom

***

Entry 4:
# TbThAl | the Alexandria database | PBE | relaxed
data_TbThAl
_symmetry_space_group_name_H-M 'P 1'
_symmetry_Int_Tables_number 1
_symmetry_space_group_name_Hall 'P 1'
_cell_length_a 4.815
_cell_length_b 4.815
_cell_length_c 7.501
_cell_angle_alpha 90.00
_cell_angle_beta 90.00
_cell_angle_gamma 90.00
loop_
_atom_site_label
_atom_site_type_symbol
_atom_site_fract_x
_atom_site_fract_y
_atom_site_fract_z
_atom_site_occupancy
Tb1 Tb 0.000 0.500 0.743 1
Al1 Al 0.500 0.500 0.000 1
Th1 Th 0.000 0.500 0.271 1
Tb2 Tb 0.500 0.000 0.257 1
Th2 Th 0.500 0.000 0.729 1
Al2 Al 0.000 0.000 0.000 1
# - E: -5.24 eV per atom
# - Formation energy: 0.03 eV/atom

***

Entry 5:
# La5PrDy5 | the Alexandria database | PBE | relaxed
data_La5PrDy5
_symmetry_space_group_name_H-M 'P 1'
_symmetry_Int_Tables_number 1
_symmetry_space_group_name_Hall 'P 1'
_cell_length_a 6.235
_cell_length_b 6.235
_cell_length_c 11.859
_cell_angle_alpha 90.00
_cell_angle_beta 90.00
_cell_angle_gamma 120.00
loop_
_atom_site_label
_atom_site_type_symbol
_atom_site_fract_x
_atom_site_fract_y
_atom_site_fract_z
_atom_site_occupancy
La1 La 0.000 0.000 0.000 1
La2 La 0.667 0.333 0.153 1
Dy1 Dy 0.834 0.668 0.500 1
Dy2 Dy 0.332 0.166 0.500 1
Dy3 Dy 0.834 0.166 0.500 1
La3 La 0.667 0.333 0.847 1
La4 La 0.333 0.667 0.319 1
La5 La 0.333 0.667 0.681 1
Dy4 Dy 0.000 0.000 0.266 1
Pr1 Pr 0.333 0.667 0.000 1
Dy5 Dy 0.000 0.000 0.734 1
# - E: -4.51 eV per atom
# - Formation energy: 0.26 eV/atom

***

Entry 6:
# TaIn2As | the Alexandria database | PBE | relaxed
data_TaIn2As
_symmetry_space_group_name_H-M 'P 1'
_symmetry_Int_Tables_number 1
_symmetry_space_group_name_Hall 'P 1'
_cell_length_a 3.014
_cell_length_b 3.014
_cell_length_c 9.220
_cell_angle_alpha 90.00
_cell_angle_beta 90.00
_cell_angle_gamma 90.00
loop_
_atom_site_label
_atom_site_type_symbol
_atom_site_fract_x
_atom_site_fract_y
_atom_site_fract_z
_atom_site_occupancy
In1 In 0.000 0.000 0.013 1
In2 In 0.000 0.000 0.487 1
Ta1 Ta 0.500 0.500 0.250 1
As1 As 0.500 0.500 0.750 1
# - E: -5.15 eV per atom
# - Formation energy: 0.34 eV/atom

***

Entry 7:
# ReTcP2 | the Alexandria database | PBE | relaxed
data_ReTcP2
_symmetry_space_group_name_H-M 'P 1'
_symmetry_Int_Tables_number 1
_symmetry_space_group_name_Hall 'P 1'
_cell_length_a 3.727
_cell_length_b 2.919
_cell_length_c 5.180
_cell_angle_alpha 90.00
_cell_angle_beta 90.00
_cell_angle_gamma 90.00
loop_
_atom_site_label
_atom_site_type_symbol
_atom_site_fract_x
_atom_site_fract_y
_atom_site_fract_z
_atom_site_occupancy
P1 P 0.000 0.250 0.968 1
P2 P 0.000 0.250 0.532 1
Re1 Re 0.500 0.250 0.250 1
Tc1 Tc 0.500 0.750 0.750 1
# - E: -8.24 eV per atom
# - Formation energy: 0.17 eV/atom

***

Entry 8:
# NdSm2Ho5Tm | the Alexandria database | PBE | relaxed
data_NdSm2Ho5Tm
_symmetry_space_group_name_H-M 'P 1'
_symmetry_Int_Tables_number 1
_symmetry_space_group_name_Hall 'P 1'
_cell_length_a 8.755
_cell_length_b 8.755
_cell_length_c 9.807
_cell_angle_alpha 116.51
_cell_angle_beta 116.51
_cell_angle_gamma 90.00
loop_
_atom_site_label
_atom_site_type_symbol
_atom_site_fract_x
_atom_site_fract_y
_atom_site_fract_z
_atom_site_occupancy
Ho1 Ho 0.345 0.845 0.273 1
Tm1 Tm 0.250 0.750 0.500 1
Ho2 Ho 0.655 0.155 0.727 1
Sm1 Sm 0.616 0.116 0.000 1
Ho3 Ho 0.155 0.072 0.727 1
Ho4 Ho 0.572 0.655 0.727 1
Ho5 Ho 0.428 0.345 0.273 1
Nd1 Nd 0.750 0.750 0.500 1
Sm2 Sm 0.884 0.616 0.000 1
Tm2 Tm 0.750 0.250 0.500 1
Sm3 Sm 0.116 0.384 0.000 1
Ho6 Ho 0.845 0.928 0.273 1
Ho7 Ho 0.928 0.428 0.273 1
Ho8 Ho 0.500 0.500 0.000 1
Ho9 Ho 0.000 0.000 0.000 1
Sm4 Sm 0.384 0.884 0.000 1
Nd2 Nd 0.250 0.250 0.500 1
Ho10 Ho 0.072 0.572 0.727 1
# - E: -4.34 eV per atom
# - Formation energy: 0.28 eV/atom

***

Entry 9:
# MnRh2W | the Alexandria database | PBE | relaxed
data_MnRh2W
_symmetry_space_group_name_H-M 'P 1'
_symmetry_Int_Tables_number 1
_symmetry_space_group_name_Hall 'P 1'
_cell_length_a 8.923
_cell_length_b 8.923
_cell_length_c 8.923
_cell_angle_alpha 17.65
_cell_angle_beta 17.65
_cell_angle_gamma 17.65
loop_
_atom_site_label
_atom_site_type_symbol
_atom_site_fract_x
_atom_site_fract_y
_atom_site_fract_z
_atom_site_occupancy
Mn1 Mn 0.747 0.747 0.747 1
W1 W 0.500 0.500 0.500 1
Rh1 Rh 0.005 0.005 0.005 1
Rh2 Rh 0.249 0.249 0.249 1
# - E: -9.13 eV per atom
# - Formation energy: 0.08 eV/atom

***

Entry 10:
# Ca3CeSm3Se8 | the Alexandria database | PBE | relaxed
data_Ca3CeSm3Se8
_symmetry_space_group_name_H-M 'P 1'
_symmetry_Int_Tables_number 1
_symmetry_space_group_name_Hall 'P 1'
_cell_length_a 8.347
_cell_length_b 8.349
_cell_length_c 8.415
_cell_angle_alpha 119.75
_cell_angle_beta 90.00
_cell_angle_gamma 119.99
loop_
_atom_site_label
_atom_site_type_symbol
_atom_site_fract_x
_atom_site_fract_y
_atom_site_fract_z
_atom_site_occupancy
Sm1 Sm 0.000 0.500 0.500 1
Se1 Se 0.250 0.998 0.749 1
Se2 Se 0.249 0.499 0.249 1
Sm2 Sm 0.500 0.000 0.500 1
Ca1 Ca 0.000 0.000 0.000 1
Se3 Se 0.750 0.002 0.251 1
Se4 Se 0.252 0.002 0.251 1
Se5 Se 0.748 0.998 0.749 1
Ce1 Ce 0.000 0.000 0.500 1
Ca2 Ca 0.500 0.500 0.000 1
Se6 Se 0.751 0.501 0.751 1
Se7 Se 0.749 0.498 0.251 1
Ca3 Ca 0.000 0.500 0.000 1
Sm3 Sm 0.500 0.500 0.500 1
Se8 Se 0.251 0.502 0.749 1
# - E: -5.49 eV per atom

***

Entry 11:
# Sm2Dy4TmSc | the Alexandria database | PBE | relaxed
data_Sm2Dy4TmSc
_symmetry_space_group_name_H-M 'P 1'
_symmetry_Int_Tables_number 1
_symmetry_space_group_name_Hall 'P 1'
_cell_length_a 4.993
_cell_length_b 4.992
_cell_length_c 11.102
_cell_angle_alpha 63.29
_cell_angle_beta 90.00
_cell_angle_gamma 90.00
loop_
_atom_site_label
_atom_site_type_symbol
_atom_site_fract_x
_atom_site_fract_y
_atom_site_fract_z
_atom_site_occupancy
Sm1 Sm 0.000 0.000 0.000 1
Dy1 Dy 0.500 0.246 0.754 1
Sc1 Sc 0.500 0.500 0.000 1
Dy2 Dy 0.000 0.746 0.754 1
Dy3 Dy 0.500 0.754 0.246 1
Tm1 Tm 0.000 0.500 0.500 1
Sm2 Sm 0.500 0.000 0.500 1
Dy4 Dy 0.000 0.254 0.246 1
# - E: -4.80 eV per atom
# - Formation energy: 0.03 eV/atom

***

Entry 12:
# Er2ScI | the Alexandria database | PBE | relaxed
data_Er2ScI
_symmetry_space_group_name_H-M 'P 1'
_symmetry_Int_Tables_number 1
_symmetry_space_group_name_Hall 'P 1'
_cell_length_a 3.545
_cell_length_b 3.545
_cell_length_c 11.426
_cell_angle_alpha 81.08
_cell_angle_beta 81.08
_cell_angle_gamma 60.00
loop_
_atom_site_label
_atom_site_type_symbol
_atom_site_fract_x
_atom_site_fract_y
_atom_site_fract_z
_atom_site_occupancy
Er1 Er 0.093 0.093 0.722 1
Er2 Er 0.907 0.907 0.278 1
I1 I 0.500 0.500 0.500 1
Sc1 Sc 0.000 0.000 0.000 1
# - E: -4.17 eV per atom

***

Which value of E does entry 12 give? -4.17 eV per atom

***

Which of these has the lowest E? MnRh2W